No. 1
Material: Nd2ThBi
Method: DFT, PBE
State: optimized geometry

Values from the calculation:
**Energy relative to the lowest polymorph listed for this composition**: 0.00 kcal/mol of atoms
**DFT formation energy**: -0.370 eV per atom
**DOS(E_F)**: 4.0 states/eV/cell

Geometry as CIF:
```
data_Nd2ThBi
_chemical_formula_sum 'Nd2 Th1 Bi1'
_cell_length_a 4.067
_cell_length_b 4.067
_cell_length_c 7.698
_cell_angle_alpha 90.00
_cell_angle_beta 90.00
_cell_angle_gamma 90.00
_symmetry_space_group_name_H-M 'P 4/m m m'
_symmetry_Int_Tables_number 123
_symmetry_space_group_name_Hall '-P 4 2'
loop_
_atom_site_label
_atom_site_fract_x
_atom_site_fract_y
_atom_site_fract_z
Nd1 0.000 0.000 0.225
Th1 0.500 0.500 0.500
Bi1 0.500 0.500 0.000
```

***

No. 2
Material: MgRe
Method: DFT, PBE
State: optimized geometry

Values from the calculation:
**Energy relative to the lowest polymorph listed for this composition**: 12.38 kcal/mol of atoms
**DFT formation energy**: 0.603 eV per atom
**DOS(E_F)**: 3.8 states/eV/cell

Geometry as CIF:
```
data_MgRe
_chemical_formula_sum 'Mg2 Re2'
_cell_length_a 2.7894
_cell_length_b 2.7894
_cell_length_c 9.9732
_cell_angle_alpha 90.00
_cell_angle_beta 90.00
_cell_angle_gamma 120.00
_symmetry_space_group_name_H-M 'P 63 m c'
_symmetry_Int_Tables_number 186
_symmetry_space_group_name_Hall 'P 6c -2c'
loop_
_atom_site_label
_atom_site_fract_x
_atom_site_fract_y
_atom_site_fract_z
Mg1 0.3333 0.6667 0.0000
Re1 0.3333 0.6667 0.2684
```

***

No. 3
Material: Ac8TePt3I4
Method: DFT, PBE
State: optimized geometry

Values from the calculation:
**DOS(E_F)**: 38.3 states/eV/cell
**E_form (uncorrected)**: -1169 meV per atom

Geometry as CIF:
```
data_Ac8TePt3I4
_chemical_formula_sum 'Ac24 Te3 Pt9 I12'
_cell_length_a 9.1878
_cell_length_b 9.1878
_cell_length_c 25.4478
_cell_angle_alpha 90.00
_cell_angle_beta 90.00
_cell_angle_gamma 120.00
_symmetry_space_group_name_H-M 'R -3 m'
_symmetry_Int_Tables_number 166
_symmetry_space_group_name_Hall '-R 3 2"'
loop_
_atom_site_label
_atom_site_fract_x
_atom_site_fract_y
_atom_site_fract_z
Ac1 0.0000 0.0000 0.2278
Ac2 0.0262 0.5131 0.7682
Te1 0.0000 0.0000 0.5000
Pt1 0.0000 0.5000 0.5000
I1 0.0000 0.0000 0.0000
I2 0.0000 0.5000 0.0000
```

***

No. 4
Material: Pm3DySc
Method: DFT, PBE
State: optimized geometry

Values from the calculation:
**Energy relative to the lowest polymorph listed for this composition**: 0.00 kcal/mol of atoms
**DFT formation energy**: 0.043 eV per atom
**DOS(E_F)**: 14.3 states/eV/cell

Geometry as CIF:
```
data_Pm3DySc
_chemical_formula_sum 'Pm6 Dy2 Sc2'
_cell_length_a 3.563
_cell_length_b 8.689
_cell_length_c 10.620
_cell_angle_alpha 105.75
_cell_angle_beta 90.04
_cell_angle_gamma 90.06
_symmetry_space_group_name_H-M 'P -1'
_symmetry_Int_Tables_number 2
loop_
_symmetry_equiv_pos_as_xyz
'x,y,z'
'-x,-y,-z'
loop_
_atom_site_label
_atom_site_fract_x
_atom_site_fract_y
_atom_site_fract_z
Pm1 0.249 0.342 0.049
Pm2 0.250 0.148 0.444
Pm3 0.250 0.550 0.654
Dy1 0.250 0.759 0.248
Sc1 0.250 0.953 0.858
```

***

No. 5
Material: CsBa2Pb2
Method: DFT, PBE
State: optimized geometry

Values from the calculation:
**Energy relative to the lowest polymorph listed for this composition**: 4.79 kcal/mol of atoms
**DFT formation energy**: -0.129 eV per atom
**DOS(E_F)**: 9.3 states/eV/cell

Geometry as CIF:
```
data_CsBa2Pb2
_chemical_formula_sum 'Cs2 Ba4 Pb4'
_cell_length_a 6.268
_cell_length_b 6.268
_cell_length_c 14.162
_cell_angle_alpha 90.00
_cell_angle_beta 90.00
_cell_angle_gamma 90.00
_symmetry_space_group_name_H-M 'I 4/m m m'
_symmetry_Int_Tables_number 139
_symmetry_space_group_name_Hall '-I 4 2'
loop_
_atom_site_label
_atom_site_fract_x
_atom_site_fract_y
_atom_site_fract_z
Cs1 0.000 0.000 0.000
Ba1 0.000 0.000 0.349
Pb1 0.000 0.500 0.250
```

***

No. 6
Material: LaMgAl2Tc
Method: DFT, PBE
State: optimized geometry

Values from the calculation:
**DFT formation energy**: -0.193 eV per atom
**DOS(E_F)**: 3.0 states/eV/cell

Geometry as CIF:
```
data_LaMgAl2Tc
_chemical_formula_sum 'La1 Mg1 Al2 Tc1'
_cell_length_a 4.810
_cell_length_b 4.810
_cell_length_c 4.975
_cell_angle_alpha 90.00
_cell_angle_beta 90.00
_cell_angle_gamma 90.00
_symmetry_space_group_name_H-M 'P 4/m m m'
_symmetry_Int_Tables_number 123
_symmetry_space_group_name_Hall '-P 4 2'
loop_
_atom_site_label
_atom_site_fract_x
_atom_site_fract_y
_atom_site_fract_z
La1 0.000 0.000 0.000
Mg1 0.500 0.500 0.000
Al1 0.000 0.500 0.500
Tc1 0.500 0.500 0.500
```

***

| no. | E (eV/cell) |
| --- | --- |
| 1 | -22.31 |
| 2 | -25.67 |
| 3 | -237.09 |
| 4 | -49.94 |
| 5 | -25.52 |
| 6 | -25.34 |